Crystalline LiHoSn2S4 at its relaxed geometry, computed with GGA-PBE.

Values from the calculation:
Theoretical density = 4.88 g/cm³
Energy = -0.1814 hartree per atom
ΔE_f (raw) = -1060 meV/atom

Cell and atoms, written as POSCAR:
```
LiHoSn2S4
1.0
6.824 0.000 0.000
0.000 4.004 0.000
-2.239 0.000 6.698
Li Ho Sn S
1 1 2 4
Cartesian
0.000 0.000 0.000
3.412 2.002 0.000
-1.120 2.002 3.349
2.292 0.000 3.349
1.179 2.002 1.548
0.030 0.000 5.180
4.555 0.000 1.517
3.406 2.002 5.149
```

---

Crystalline Li4Ho3SnS8 at its relaxed geometry, computed with GGA-PBE.

Values from the calculation:
Theoretical density = 4.61 g/cm³
Energy = -0.1916 hartree per atom
Density of states at the Fermi level = 1.74 states/eV/cell
ΔE_f (raw) = -1563 meV/atom

Cell and atoms, written as POSCAR:
```
Li4Ho3SnS8
1.0
3.892 2.247 6.168
-3.892 2.247 6.168
0.000 -4.494 6.168
Li Ho Sn S
4 3 1 8
Cartesian
0.000 0.000 0.000
-1.946 -1.124 6.168
-1.946 1.124 12.336
0.000 2.247 6.168
-3.892 0.000 9.252
-1.946 1.124 3.084
1.946 1.124 3.084
0.000 0.000 9.252
0.000 0.000 4.625
0.000 -2.240 7.710
-1.940 1.120 7.710
-1.940 -1.120 10.794
1.940 1.120 7.710
1.940 -1.120 10.794
0.000 2.240 10.794
0.000 0.000 13.879
```

---

Crystalline Li2HoSnS4 at its relaxed geometry, computed with GGA-PBE.

Values from the calculation:
Theoretical density = 4.38 g/cm³
Energy = -0.1798 hartree per atom
Density of states at the Fermi level = 3.98 states/eV/cell
ΔE_f (raw) = -1278 meV/atom

Cell and atoms, written as POSCAR:
```
Li2HoSnS4
1.0
5.399 0.000 0.000
0.000 5.399 0.000
0.000 0.000 11.088
Li Ho Sn S
4 2 2 8
Cartesian
0.000 0.000 0.000
0.000 2.699 2.772
2.699 0.000 8.316
2.699 2.699 5.544
0.000 2.699 8.316
2.699 0.000 2.772
0.000 0.000 5.544
2.699 2.699 0.000
0.000 0.000 2.813
0.000 0.000 8.275
0.000 2.699 5.576
0.000 2.699 11.056
2.699 0.000 0.032
2.699 0.000 5.512
2.699 2.699 2.731
2.699 2.699 8.356
```

---

> Look up the energy of the third one.

-0.1798 hartree per atom